NaCo3Si: single point on PBEsol structure, meta-GGA SCAN.

M_tot = 4.9 μB per formula unit
uncorrected energy = -12.6376 eV per atom

Unit cell a=4.224 b=4.224 c=4.224 alpha=90.00 beta=90.00 gamma=90.00
Fractional positions:
Co: 0.000 0.000 0.500
Si: 0.000 0.000 0.000
Na: 0.500 0.500 0.500
Co: 0.500 0.000 0.000
Co: 0.000 0.500 0.000

=====

Nb2PdCl: single point on PBEsol structure, meta-GGA SCAN.

M_tot = 0.0 μB per formula unit
uncorrected energy = -26.6048 eV per atom

Unit cell a=4.484 b=4.484 c=4.484 alpha=60.00 beta=60.00 gamma=60.00
Fractional positions:
Pd: 0.500 0.500 0.500
Cl: 0.000 0.000 0.000
Nb: 0.750 0.750 0.750
Nb: 0.250 0.250 0.250

=====

TlCdO3: single point on PBEsol structure, meta-GGA SCAN.

M_tot = 0.0 μB per formula unit
uncorrected energy = -24.3836 eV per atom

Unit cell a=4.112 b=4.112 c=4.112 alpha=90.00 beta=90.00 gamma=90.00
Fractional positions:
O: 0.000 0.500 0.000
O: 0.500 0.000 0.000
Cd: 0.000 0.000 0.000
Tl: 0.500 0.500 0.500
O: 0.000 0.000 0.500

=====

> Which formula does entry 2 have?

Nb2PdCl